7
Lattice="3.640 0.000 -0.506 -0.070 3.639 -0.506 0.468 0.477 16.702" Properties=species:S:1:pos:R:3 comment="PBE Na5Li2, relaxed" formation_energy_ev_per_atom=0.022 total_magnetization_mub_per_fu=0.0 e_tot_ev_per_atom=-1.467 pbc="T T T"
Li 1.227 1.251 8.817
Li 2.811 2.866 6.872
Na 0.000 0.000 0.000
Na 3.297 3.361 10.363
Na 0.741 0.755 5.326
Na 1.880 1.917 13.517
Na 2.157 2.199 2.172